Compound: Co3CuO
Source: Alexandria
Functional: PBE with a Hubbard U
Structure: optimized geometry

Calculated values
E above lowest polymorph: 0.00 eV/f.u.

Cell and atoms, written as POSCAR:
```
Co3CuO
1.0
3.869 0.000 0.000
0.000 3.869 0.000
0.000 0.000 3.869
Co Cu O
3 1 1
direct
0.000 0.000 0.500
0.000 0.500 0.000
0.500 0.000 0.000
0.500 0.500 0.500
0.000 0.000 0.000
```